Record 1
{"formula": "Sr2Cd2Sb", "functional": "GGA-PBE", "state": "optimized geometry", "lattice_angstrom": [[-2.593, -2.983, 1.197], [1.392, 0.344, 3.873], [-7.566, 5.497, 4.434]], "species": ["Sb", "Sr", "Sr", "Cd", "Cd"], "frac_coords": [[0.000, 0.000, 0.000], [0.405, 0.405, 0.189], [0.595, 0.595, 0.811], [0.750, 0.250, 0.500], [0.250, 0.750, 0.500]], "e_tot_ev_per_cell": -11.61, "sg": "I4/mmm (139)", "e_form_raw_ev_per_fu": -2.30}

Record 2
{"formula": "SrCdSb2", "functional": "GGA-PBE", "state": "optimized geometry", "lattice_angstrom": [[8.574, 0.000, 0.000], [0.000, 8.574, 0.000], [4.287, 4.287, 3.359]], "species": ["Sb", "Sb", "Sb", "Sb", "Sr", "Sr", "Cd", "Cd"], "frac_coords": [[0.668, 0.125, 0.250], [0.082, 0.625, 0.250], [0.375, 0.332, 0.750], [0.875, 0.918, 0.750], [0.500, 0.500, 0.000], [0.250, 0.750, 0.500], [0.000, 0.000, 0.000], [0.750, 0.250, 0.500]], "e_tot_ev_per_cell": -25.14, "sg": "I-42d (122)", "e_form_raw_ev_per_fu": -1.73}

Record 3
{"formula": "SrCd2Sb", "functional": "GGA-PBE", "state": "optimized geometry", "lattice_angstrom": [[-1.634, -8.324, 2.632], [-1.030, -2.475, -8.468], [1.799, -6.072, -3.102]], "species": ["Sb", "Sb", "Sr", "Sr", "Cd", "Cd", "Cd", "Cd"], "frac_coords": [[0.000, 0.000, 0.000], [0.750, 0.250, 0.500], [0.500, 0.500, 0.000], [0.250, 0.750, 0.500], [0.671, 0.125, 0.250], [0.079, 0.625, 0.250], [0.375, 0.329, 0.750], [0.875, 0.921, 0.750]], "e_tot_ev_per_cell": -17.28, "sg": "I-42d (122)", "e_form_raw_ev_per_fu": -1.00}

Record 4
{"formula": "Sr4CdSb", "functional": "GGA-PBE", "state": "optimized geometry", "lattice_angstrom": [[-5.918, -2.592, 2.945], [-5.367, -2.153, -4.120], [-1.501, -6.918, -0.547]], "species": ["Sr", "Sr", "Sr", "Sr", "Cd", "Sb"], "frac_coords": [[0.878, 0.374, 0.374], [0.374, 0.374, 0.878], [0.374, 0.878, 0.374], [0.374, 0.374, 0.374], [0.750, 0.750, 0.750], [0.000, 0.000, 0.000]], "e_tot_ev_per_cell": -10.53, "sg": "F-43m (216)", "e_form_raw_ev_per_fu": 1.23}

Record 5
{"formula": "SrCd2Sb", "functional": "GGA-PBE", "state": "optimized geometry", "lattice_angstrom": [[-0.954, 3.084, 5.462], [-5.160, 2.285, 2.899], [-3.007, -1.463, 5.392]], "species": ["Cd", "Cd", "Sb", "Sr"], "frac_coords": [[0.983, 0.983, 0.983], [0.517, 0.517, 0.517], [0.250, 0.250, 0.250], [0.750, 0.750, 0.750]], "e_tot_ev_per_cell": -8.72, "sg": "R-3m (166)", "e_form_raw_ev_per_fu": -1.09}

Record 6
{"formula": "SrCd3Sb3", "functional": "GGA-PBE", "state": "optimized geometry", "lattice_angstrom": [[-4.225, -4.017, 5.690], [-6.384, -4.583, -2.145], [1.224, -9.094, 0.320]], "species": ["Sr", "Sr", "Cd", "Cd", "Cd", "Cd", "Cd", "Cd", "Sb", "Sb", "Sb", "Sb", "Sb", "Sb"], "frac_coords": [[0.334, 0.334, 0.999], [0.666, 0.666, 0.001], [0.472, 0.779, 0.626], [0.779, 0.124, 0.626], [0.124, 0.472, 0.626], [0.876, 0.528, 0.374], [0.221, 0.876, 0.374], [0.528, 0.221, 0.374], [0.239, 0.598, 0.244], [0.919, 0.239, 0.244], [0.598, 0.919, 0.244], [0.402, 0.081, 0.756], [0.081, 0.761, 0.756], [0.761, 0.402, 0.756]], "e_tot_ev_per_cell": -37.88, "sg": "R-3 (148)", "e_form_raw_ev_per_fu": -2.15}

no.,spin magnetization (μB/atom)
1,0.00
2,0.00
3,0.00
4,0.00
5,0.00
6,0.00